Record 1
Material: Ce2SnSe4
Method: DFT, GGA-PBE
State: relaxed

```
Ce2SnSe4
1.0
-4.094 -1.478 -0.336
2.243 -6.761 2.413
-2.153 3.366 11.430
Se Ce Sn
8 4 2
direct
0.000 0.354 0.222 Se
0.000 0.646 0.778 Se
0.000 0.854 0.278 Se
0.500 0.260 0.456 Se
0.500 0.740 0.544 Se
0.500 0.760 0.044 Se
0.500 0.240 0.956 Se
0.000 0.146 0.722 Se
0.500 0.913 0.819 Ce
0.500 0.587 0.319 Ce
0.500 0.087 0.181 Ce
0.500 0.413 0.681 Ce
0.000 0.500 0.000 Sn
0.000 0.000 0.500 Sn
```

Calculated values
SG = Pbam, No. 55
energy above the most stable polymorph in this dataset = 0.000 eV per atom
N(E_F) = 26.31 states/eV/cell
formation energy from raw total energies = -31.2 kcal/mol of atoms
spin magnetization = 4.01 Bohr magnetons per cell
calculated volume = 28.40 Å³ per atom
E_tot = -78.56 eV for the cell shown

***

Record 2
Material: Ce2SnSe
Method: DFT, GGA-PBE
State: relaxed

```
Ce2SnSe
1.0
3.582 0.000 0.000
0.000 3.582 0.000
0.000 0.000 8.122
Ce Se Sn
2 1 1
direct
0.000 0.000 0.772 Ce
0.000 0.000 0.228 Ce
0.500 0.500 0.000 Se
0.500 0.500 0.500 Sn
```

Calculated values
SG = P4/mmm, No. 123
energy above the most stable polymorph in this dataset = 0.087 eV per atom
N(E_F) = 12.61 states/eV/cell
formation energy from raw total energies = -24.5 kcal/mol of atoms
spin magnetization = 2.67 Bohr magnetons per cell
calculated volume = 26.06 Å³ per atom
E_tot = -23.60 eV for the cell shown

***

Record 3
Material: Ce2SnSe
Method: DFT, GGA-PBE
State: relaxed

```
Ce2SnSe
1.0
4.366 0.000 0.000
-2.183 3.769 -0.290
0.000 -1.970 7.258
Sn Ce Se
1 2 1
direct
0.000 0.000 0.500 Sn
0.755 0.510 0.766 Ce
0.245 0.490 0.234 Ce
0.500 0.000 0.000 Se
```

Calculated values
SG = R-3m, No. 166
energy above the most stable polymorph in this dataset = 0.000 eV per atom
N(E_F) = 11.10 states/eV/cell
formation energy from raw total energies = -26.5 kcal/mol of atoms
spin magnetization = 1.52 Bohr magnetons per cell
calculated volume = 29.23 Å³ per atom
E_tot = -23.95 eV for the cell shown